[1]
Compound: CdMoSe3
Source: Alexandria
Functional: PBE-GGA
Structure: relaxed

Summary:
ΔE_f (raw): 0.1049 eV/atom
V: 123.4 Å³/cell
total magnetic moment: 0.00 μB/f.u.
symmetry: Pm-3m, No. 221
raw total energy: -4.335 eV/atom
energy above the most stable polymorph in this dataset: 0.00 eV per formula unit

a = 4.9782 Å, b = 4.9782 Å, c = 4.9782 Å
α = 90.00°, β = 90.00°, γ = 90.00°
Last column: nearest neighbours and their distance in Å.
Element x y z (fractional)
Mo1 0.0000 0.0000 0.0000  6 Se 2.49
Se1 0.0000 0.5000 0.0000  2 Mo 2.49
Se2 0.0000 0.0000 0.5000  2 Mo 2.49
Se3 0.5000 0.0000 0.0000  2 Mo 2.49
Cd1 0.5000 0.5000 0.5000  12 Se 3.52

***

[2]
Compound: Cd2MoSe
Source: Alexandria
Functional: PBE-GGA
Structure: relaxed

Summary:
ΔE_f (raw): 0.4105 eV/atom
V: 78.5 Å³/cell
total magnetic moment: 0.00 μB/f.u.
symmetry: Cmmm, No. 65
raw total energy: -3.626 eV/atom
energy above the most stable polymorph in this dataset: 1.83 eV per formula unit

a = 5.2594 Å, b = 5.2594 Å, c = 3.2450 Å
α = 90.01°, β = 90.01°, γ = 118.97°
Last column: nearest neighbours and their distance in Å.
Element x y z (fractional)
Cd1 0.0000 0.0000 0.0000  2 Cd 2.67
Cd2 0.5000 0.5000 0.0000  2 Cd 2.67
Mo1 0.5000 0.0000 0.5000  2 Se 2.67
Se1 0.0000 0.5000 0.5000  2 Mo 2.67

***

[3]
Compound: Cd2Mo2Se
Source: Alexandria
Functional: PBE-GGA
Structure: relaxed

Summary:
ΔE_f (raw): 0.4828 eV/atom
V: 105.6 Å³/cell
total magnetic moment: 0.00 μB/f.u.
symmetry: I4/mmm, No. 139
raw total energy: -4.913 eV/atom
energy above the most stable polymorph in this dataset: 0.00 eV per formula unit

a = 3.5681 Å, b = 3.5681 Å, c = 8.6670 Å
α = 78.12°, β = 78.12°, γ = 90.00°
Last column: nearest neighbours and their distance in Å.
Element x y z (fractional)
Mo1 0.7500 0.2500 0.5000  4 Mo 2.52
Mo2 0.2500 0.7500 0.5000  4 Mo 2.52
Se1 0.0000 0.0000 0.0000  8 Cd 3.02
Cd1 0.4000 0.4000 0.1999  4 Se 3.02, 4 Mo 3.06, 1 Cd 3.32
Cd2 0.6000 0.6000 0.8001  4 Se 3.02, 4 Mo 3.06, 1 Cd 3.32